1.
Here is a relaxed Tl2In4Pb3 crystal from the Alexandria database. Energies are from GGA-PBE.

Uncorrected energy = -52.25 eV for the cell shown
Energy of formation = 76 meV per atom
Space group = Cmce (64)

Lattice parameters (Å, degrees): 6.7643 10.1153 8.9787 90.00 112.13 90.00
Last column: nearest neighbours and their distance in Å.
Atoms (fractional coordinates):
In (0.1863, 0.9901, 0.3726)  5 Pb 3.10-3.26
In (0.8010, 0.2500, 0.1021)  3 Pb 3.16, 2 In 3.38
In (0.3010, 0.2500, 0.1021)  3 Pb 3.16, 2 In 3.38
In (0.6863, 0.5099, 0.3726)  5 Pb 3.10-3.26
In (0.3137, 0.4901, 0.6274)  5 Pb 3.10-3.26
In (0.6990, 0.7500, 0.8979)  3 Pb 3.16, 2 In 3.38
In (0.8137, 0.0099, 0.6274)  5 Pb 3.10-3.26
In (0.1990, 0.7500, 0.8979)  3 Pb 3.16, 2 In 3.38
Tl (0.6011, 0.9376, 0.2022)  7 In 3.59-3.71, 1 Tl 3.59, 4 Pb 3.65-3.83
Tl (0.1011, 0.5624, 0.2022)  7 In 3.59-3.71, 1 Tl 3.59, 4 Pb 3.65-3.83
Tl (0.8989, 0.4376, 0.7978)  7 In 3.59-3.71, 1 Tl 3.59, 4 Pb 3.65-3.83
Tl (0.3989, 0.0624, 0.7978)  7 In 3.59-3.71, 1 Tl 3.59, 4 Pb 3.65-3.83
Pb (0.0000, 0.0000, 0.0000)  6 In 3.10-3.16
Pb (0.0088, 0.7500, 0.5177)  5 In 3.16-3.26, 2 Pb 3.38
Pb (0.5088, 0.7500, 0.5177)  5 In 3.16-3.26, 2 Pb 3.38
Pb (0.5000, 0.5000, 0.0000)  6 In 3.10-3.16
Pb (0.4912, 0.2500, 0.4823)  5 In 3.16-3.26, 2 Pb 3.38
Pb (0.9912, 0.2500, 0.4823)  5 In 3.16-3.26, 2 Pb 3.38


2.
Here is a relaxed KSn crystal from the Alexandria database. Energies are from GGA-PBE.

Uncorrected energy = -32.06 eV for the cell shown
Energy of formation = -121 meV per atom
Space group = Immm (71)

Lattice parameters (Å, degrees): 4.3252 5.9775 18.0759 90.00 90.00 90.00
Last column: nearest neighbours and their distance in Å.
Atoms (fractional coordinates):
K (0.0000, 0.0000, 0.6805)  5 Sn 3.71-3.88, 2 K 3.91
K (0.5000, 0.0000, 0.5000)  8 Sn 3.63-3.69, 4 K 3.91
K (0.5000, 0.5000, 0.1805)  5 Sn 3.71-3.88, 2 K 3.91
K (0.5000, 0.5000, 0.8195)  5 Sn 3.71-3.88, 2 K 3.91
K (0.0000, 0.5000, 0.0000)  8 Sn 3.63-3.69, 4 K 3.91
K (0.0000, 0.0000, 0.3195)  5 Sn 3.71-3.88, 2 K 3.91
Sn (0.5000, 0.5000, 0.6142)  2 Sn 2.99
Sn (0.0000, 0.0000, 0.1142)  2 Sn 2.99
Sn (0.0000, 0.0000, 0.8858)  2 Sn 2.99
Sn (0.5000, 0.0000, 0.0000)  4 Sn 2.99
Sn (0.5000, 0.5000, 0.3858)  2 Sn 2.99
Sn (0.0000, 0.5000, 0.5000)  4 Sn 2.99